# PBE-GGA Nd12Dy2Y5, relaxed
# * symmetry: No. 12
# * raw total energy: -5.065 eV/atom
# * energy of formation from the pure elements: 2.51 eV per formula unit
# * energy relative to the lowest polymorph listed for this composition: 0.0000 eV per atom
data_Nd12Dy2Y5
_chemical_formula_sum 'Nd12 Dy2 Y5'
_cell_length_a 7.154
_cell_length_b 8.804
_cell_length_c 11.786
_cell_angle_alpha 109.25
_cell_angle_beta 107.67
_cell_angle_gamma 90.00
_space_group_name_H-M_alt 'P 1'
_space_group_IT_number 1
loop_
_space_group_symop_operation_xyz
'x,y,z'
loop_
_atom_site_label
_atom_site_type_symbol
_atom_site_fract_x
_atom_site_fract_y
_atom_site_fract_z
Y1 Y 0.751 0.509 0.502
Nd1 Nd 0.053 0.206 0.600
Nd2 Nd 0.857 0.939 0.714
Nd3 Nd 0.548 0.695 0.096
Nd4 Nd 0.363 0.385 0.212
Dy1 Dy 0.257 0.000 0.000
Y2 Y 0.350 0.902 0.700
Nd5 Nd 0.453 0.794 0.400
Nd6 Nd 0.947 0.794 0.400
Nd7 Nd 0.151 0.615 0.788
Nd8 Nd 0.637 0.615 0.788
Nd9 Nd 0.849 0.385 0.212
Nd10 Nd 0.143 0.061 0.286
Y3 Y 0.249 0.491 0.498
Y4 Y 0.650 0.098 0.300
Dy2 Dy 0.743 0.000 0.000
Nd11 Nd 0.547 0.206 0.600
Nd12 Nd 0.452 0.305 0.904
Y5 Y 0.000 0.500 0.000


# PBE-GGA Pm3CdF, relaxed
# * symmetry: No. 221
# * raw total energy: -4.436 eV/atom
data_Pm3CdF
_chemical_formula_sum 'Pm3 Cd1 F1'
_cell_length_a 5.009
_cell_length_b 5.009
_cell_length_c 5.009
_cell_angle_alpha 90.00
_cell_angle_beta 90.00
_cell_angle_gamma 90.00
_space_group_name_H-M_alt 'P 1'
_space_group_IT_number 1
loop_
_space_group_symop_operation_xyz
'x,y,z'
loop_
_atom_site_label
_atom_site_type_symbol
_atom_site_fract_x
_atom_site_fract_y
_atom_site_fract_z
F1 F 0.000 0.000 0.000
Cd1 Cd 0.500 0.500 0.500
Pm1 Pm 0.500 0.000 0.000
Pm2 Pm 0.000 0.500 0.000
Pm3 Pm 0.000 0.000 0.500


# PBE-GGA SrMg14Ga, relaxed
# * symmetry: No. 187
# * raw total energy: -1.660 eV/atom
# * energy of formation from the pure elements: 0.48 eV per formula unit
# * energy relative to the lowest polymorph listed for this composition: 0.0224 eV per atom
data_SrMg14Ga
_chemical_formula_sum 'Sr1 Mg14 Ga1'
_cell_length_a 6.570
_cell_length_b 6.570
_cell_length_c 10.345
_cell_angle_alpha 90.00
_cell_angle_beta 90.00
_cell_angle_gamma 120.00
_space_group_name_H-M_alt 'P 1'
_space_group_IT_number 1
loop_
_space_group_symop_operation_xyz
'x,y,z'
loop_
_atom_site_label
_atom_site_type_symbol
_atom_site_fract_x
_atom_site_fract_y
_atom_site_fract_z
Mg1 Mg 0.667 0.333 0.243
Mg2 Mg 0.167 0.833 0.732
Ga1 Ga 0.000 0.000 0.500
Mg3 Mg 0.167 0.335 0.268
Mg4 Mg 0.167 0.833 0.268
Mg5 Mg 0.665 0.833 0.268
Mg6 Mg 0.665 0.833 0.732
Mg7 Mg 0.494 0.988 0.000
Sr1 Sr 0.000 0.000 0.000
Mg8 Mg 0.494 0.506 0.000
Mg9 Mg 0.506 0.494 0.500
Mg10 Mg 0.988 0.494 0.500
Mg11 Mg 0.667 0.333 0.757
Mg12 Mg 0.506 0.012 0.500
Mg13 Mg 0.012 0.506 0.000
Mg14 Mg 0.167 0.335 0.732


# PBE-GGA KGaSn3, relaxed
# * symmetry: No. 221
# * raw total energy: -2.141 eV/atom
# * energy of formation from the pure elements: 5.43 eV per formula unit
# * energy relative to the lowest polymorph listed for this composition: 1.2268 eV per atom
data_KGaSn3
_chemical_formula_sum 'K1 Ga1 Sn3'
_cell_length_a 5.912
_cell_length_b 5.912
_cell_length_c 5.912
_cell_angle_alpha 90.00
_cell_angle_beta 90.00
_cell_angle_gamma 90.00
_space_group_name_H-M_alt 'P 1'
_space_group_IT_number 1
loop_
_space_group_symop_operation_xyz
'x,y,z'
loop_
_atom_site_label
_atom_site_type_symbol
_atom_site_fract_x
_atom_site_fract_y
_atom_site_fract_z
K1 K 0.000 0.000 0.000
Sn1 Sn 0.000 0.500 0.000
Ga1 Ga 0.500 0.500 0.500
Sn2 Sn 0.500 0.000 0.000
Sn3 Sn 0.000 0.000 0.500


# PBE-GGA Sr2HgRh, relaxed
# * symmetry: No. 99
# * raw total energy: -2.879 eV/atom
# * energy of formation from the pure elements: -0.50 eV per formula unit
data_Sr2HgRh
_chemical_formula_sum 'Sr2 Hg1 Rh1'
_cell_length_a 3.769
_cell_length_b 3.769
_cell_length_c 8.633
_cell_angle_alpha 90.00
_cell_angle_beta 90.00
_cell_angle_gamma 90.00
_space_group_name_H-M_alt 'P 1'
_space_group_IT_number 1
loop_
_space_group_symop_operation_xyz
'x,y,z'
loop_
_atom_site_label
_atom_site_type_symbol
_atom_site_fract_x
_atom_site_fract_y
_atom_site_fract_z
Sr1 Sr 0.000 0.000 0.915
Hg1 Hg 0.000 0.000 0.557
Rh1 Rh 0.500 0.500 0.696
Sr2 Sr 0.500 0.500 0.333


# PBE-GGA CdPtS2O8, relaxed
# * symmetry: No. 164
# * raw total energy: -5.489 eV/atom
data_CdPtS2O8
_chemical_formula_sum 'Cd1 Pt1 S2 O8'
_cell_length_a 5.211
_cell_length_b 5.211
_cell_length_c 6.954
_cell_angle_alpha 90.00
_cell_angle_beta 90.00
_cell_angle_gamma 120.00
_space_group_name_H-M_alt 'P 1'
_space_group_IT_number 1
loop_
_space_group_symop_operation_xyz
'x,y,z'
loop_
_atom_site_label
_atom_site_type_symbol
_atom_site_fract_x
_atom_site_fract_y
_atom_site_fract_z
O1 O 0.175 0.825 0.765
S1 S 0.333 0.667 0.697
Pt1 Pt 0.000 0.000 0.000
O2 O 0.350 0.175 0.235
O3 O 0.650 0.825 0.765
O4 O 0.825 0.175 0.235
Cd1 Cd 0.000 0.000 0.500
O5 O 0.175 0.350 0.765
O6 O 0.333 0.667 0.486
O7 O 0.825 0.650 0.235
O8 O 0.667 0.333 0.514
S2 S 0.667 0.333 0.303


# PBE-GGA Dy2BePPt6, relaxed
# * symmetry: No. 59
# * raw total energy: -6.386 eV/atom
# * energy of formation from the pure elements: -9.27 eV per formula unit
data_Dy2BePPt6
_chemical_formula_sum 'Dy4 Be2 P2 Pt12'
_cell_length_a 5.585
_cell_length_b 7.660
_cell_length_c 8.488
_cell_angle_alpha 90.00
_cell_angle_beta 90.00
_cell_angle_gamma 90.00
_space_group_name_H-M_alt 'P 1'
_space_group_IT_number 1
loop_
_space_group_symop_operation_xyz
'x,y,z'
loop_
_atom_site_label
_atom_site_type_symbol
_atom_site_fract_x
_atom_site_fract_y
_atom_site_fract_z
Pt1 Pt 0.751 0.988 0.500
P1 P 0.500 0.263 0.500
Pt2 Pt 0.251 0.012 0.000
Pt3 Pt 0.249 0.988 0.500
Pt4 Pt 0.749 0.012 0.000
Dy1 Dy 0.500 0.733 0.259
Pt5 Pt 0.759 0.499 0.500
Pt6 Pt 0.500 0.135 0.748
Pt7 Pt 0.000 0.865 0.248
Pt8 Pt 0.000 0.865 0.752
P2 P 0.000 0.737 0.000
Dy2 Dy 0.000 0.267 0.759
Pt9 Pt 0.500 0.135 0.252
Pt10 Pt 0.241 0.499 0.500
Pt11 Pt 0.259 0.501 0.000
Be1 Be 0.000 0.745 0.500
Be2 Be 0.500 0.255 0.000
Pt12 Pt 0.741 0.501 0.000
Dy3 Dy 0.500 0.733 0.741
Dy4 Dy 0.000 0.267 0.241


# PBE-GGA LiHoCuAu, relaxed
# * symmetry: No. 216
# * raw total energy: -3.872 eV/atom
# * energy of formation from the pure elements: -1.62 eV per formula unit
data_LiHoCuAu
_chemical_formula_sum 'Li1 Ho1 Cu1 Au1'
_cell_length_a 4.748
_cell_length_b 4.748
_cell_length_c 4.748
_cell_angle_alpha 60.00
_cell_angle_beta 60.00
_cell_angle_gamma 60.00
_space_group_name_H-M_alt 'P 1'
_space_group_IT_number 1
loop_
_space_group_symop_operation_xyz
'x,y,z'
loop_
_atom_site_label
_atom_site_type_symbol
_atom_site_fract_x
_atom_site_fract_y
_atom_site_fract_z
Li1 Li 0.500 0.500 0.500
Au1 Au 0.750 0.750 0.750
Cu1 Cu 0.250 0.250 0.250
Ho1 Ho 0.000 0.000 0.000


# PBE-GGA InSiAg, relaxed
# * symmetry: No. 194
# * raw total energy: -2.629 eV/atom
data_InSiAg
_chemical_formula_sum 'In2 Si2 Ag2'
_cell_length_a 4.725
_cell_length_b 4.725
_cell_length_c 10.251
_cell_angle_alpha 90.00
_cell_angle_beta 90.00
_cell_angle_gamma 120.00
_space_group_name_H-M_alt 'P 1'
_space_group_IT_number 1
loop_
_space_group_symop_operation_xyz
'x,y,z'
loop_
_atom_site_label
_atom_site_type_symbol
_atom_site_fract_x
_atom_site_fract_y
_atom_site_fract_z
Si1 Si 0.000 0.000 0.500
Ag1 Ag 0.667 0.333 0.750
In1 In 0.000 0.000 0.250
In2 In 0.000 0.000 0.750
Ag2 Ag 0.333 0.667 0.250
Si2 Si 0.000 0.000 0.000


# PBE-GGA NaCeNd2Se4, relaxed
# * symmetry: No. 10
# * raw total energy: -5.596 eV/atom
data_NaCeNd2Se4
_chemical_formula_sum 'Na1 Ce1 Nd2 Se4'
_cell_length_a 4.217
_cell_length_b 7.318
_cell_length_c 7.355
_cell_angle_alpha 109.25
_cell_angle_beta 90.00
_cell_angle_gamma 90.00
_space_group_name_H-M_alt 'P 1'
_space_group_IT_number 1
loop_
_space_group_symop_operation_xyz
'x,y,z'
loop_
_atom_site_label
_atom_site_type_symbol
_atom_site_fract_x
_atom_site_fract_y
_atom_site_fract_z
Nd1 Nd 0.500 0.000 0.500
Na1 Na 0.000 0.000 0.000
Se1 Se 0.500 0.251 0.250
Se2 Se 0.000 0.249 0.753
Se3 Se 0.000 0.751 0.247
Se4 Se 0.500 0.749 0.750
Nd2 Nd 0.000 0.500 0.500
Ce1 Ce 0.500 0.500 0.000


# PBE-GGA YNbC2S, relaxed
# * symmetry: No. 123
# * raw total energy: -5.966 eV/atom
data_YNbC2S
_chemical_formula_sum 'Y1 Nb1 C2 S1'
_cell_length_a 4.260
_cell_length_b 5.080
_cell_length_c 4.260
_cell_angle_alpha 90.00
_cell_angle_beta 90.00
_cell_angle_gamma 90.00
_space_group_name_H-M_alt 'P 1'
_space_group_IT_number 1
loop_
_space_group_symop_operation_xyz
'x,y,z'
loop_
_atom_site_label
_atom_site_type_symbol
_atom_site_fract_x
_atom_site_fract_y
_atom_site_fract_z
C1 C 0.000 0.000 0.500
S1 S 0.000 0.500 0.000
Nb1 Nb 0.500 0.500 0.500
C2 C 0.500 0.000 0.000
Y1 Y 0.000 0.000 0.000


> Number 7 is which compound?

Dy2BePPt6